[1]
The following is a DFT calculation (GGA-PBE) of a relaxed structure of RbZrAg2Cl8.

The value obtained for the uncorrected formation energy is -1.2205 eV per atom.

a = 6.7163 Å, b = 6.6311 Å, c = 9.2138 Å
α = 65.84°, β = 84.61°, γ = 87.75°
Closest atoms and distances in Å follow each position.
Sites, in units of the cell vectors:
Cl1 0.1029 0.7072 0.2597  1 Zr 2.53, 1 Ag 2.82
Cl2 0.4759 0.2212 0.5054  2 Ag 2.46-2.56
Cl3 0.3160 0.2106 0.9740  1 Ag 2.49, 1 Zr 2.52
Cl4 0.8971 0.2928 0.7403  1 Zr 2.53, 1 Ag 2.82
Cl5 0.5241 0.7788 0.4946  2 Ag 2.46-2.56
Cl6 0.1706 0.7979 0.8542  1 Zr 2.44
Cl7 0.6840 0.7894 0.0260  1 Ag 2.49, 1 Zr 2.52
Cl8 0.8294 0.2021 0.1458  1 Zr 2.44
Ag1 0.5100 0.5995 0.2972  3 Cl 2.46-2.56
Ag2 0.4900 0.4005 0.7028  3 Cl 2.46-2.56
Rb1 0.0000 0.0000 0.5000  6 Cl 3.28-3.58
Zr1 0.0000 0.0000 0.0000  6 Cl 2.44-2.53

***

[2]
The following is a DFT calculation (GGA-PBE) of a relaxed structure of ThTePd6.

The value obtained for the uncorrected formation energy is -0.5746 eV per atom.

a = 4.1782 Å, b = 4.1782 Å, c = 8.2417 Å
α = 90.00°, β = 90.00°, γ = 90.00°
Closest atoms and distances in Å follow each position.
Sites, in units of the cell vectors:
Te1 0.0000 0.0000 0.0000  12 Pd 2.93-2.95
Pd1 0.0000 0.5000 0.2493  2 Te 2.93, 8 Pd 2.93-2.95, 2 Th 2.94
Pd2 0.5000 0.0000 0.2493  8 Pd 2.93-2.95, 2 Te 2.93, 2 Th 2.94
Pd3 0.5000 0.0000 0.7507  8 Pd 2.93-2.95, 2 Te 2.93, 2 Th 2.94
Pd4 0.5000 0.5000 0.0000  8 Pd 2.93, 4 Te 2.95
Pd5 0.5000 0.5000 0.5000  8 Pd 2.94, 4 Th 2.95
Pd6 0.0000 0.5000 0.7507  2 Te 2.93, 8 Pd 2.93-2.95, 2 Th 2.94
Th1 0.0000 0.0000 0.5000  12 Pd 2.94-2.95

***

[3]
The following is a DFT calculation (GGA-PBE) of a relaxed structure of DyLuTl.

The value obtained for the offset from the most stable computed form is 91 meV/atom. The formation enthalpy at 0 K comes out at -3.02 kcal/mol of atoms.

a = 3.6712 Å, b = 5.2172 Å, c = 5.2172 Å
α = 120.00°, β = 90.00°, γ = 90.00°
Closest atoms and distances in Å follow each position.
Sites, in units of the cell vectors:
Dy1 0.6666 0.3333 0.6667  6 Tl 3.53, 6 Lu 3.53, 2 Dy 3.67
Tl1 0.1668 0.0000 0.0000  3 Lu 3.01
Lu1 0.1665 0.6667 0.3333  3 Tl 3.01

***

[4]
The following is a DFT calculation (GGA-PBE) of a relaxed structure of K2Na6AgHg.

The formation enthalpy at 0 K comes out at -0.31 kcal/mol of atoms.

a = 8.3752 Å, b = 8.3752 Å, c = 8.3752 Å
α = 60.00°, β = 60.00°, γ = 90.00°
Closest atoms and distances in Å follow each position.
Sites, in units of the cell vectors:
K1 0.7500 0.2500 0.5000  12 Na 4.19
K2 0.2500 0.7500 0.5000  12 Na 4.19
Na1 0.7472 0.2528 0.0000  1 Ag 2.93, 1 Hg 2.99
Na2 0.2528 0.7472 0.0000  1 Ag 2.93, 1 Hg 2.99
Na3 0.7472 0.7472 0.0000  1 Ag 2.93, 1 Hg 2.99
Na4 0.7472 0.7472 0.5057  1 Ag 2.93, 1 Hg 2.99
Na5 0.2528 0.2528 0.4943  1 Ag 2.93, 1 Hg 2.99
Na6 0.2528 0.2528 0.0000  1 Ag 2.93, 1 Hg 2.99
Ag1 0.5000 0.5000 0.0000  6 Na 2.93
Hg1 0.0000 0.0000 0.0000  6 Na 2.99

***

[5]
The following is a DFT calculation (GGA-PBE) of a relaxed structure of Mg2RhAu2.

The value obtained for the offset from the most stable computed form is 0 meV/atom. The formation enthalpy at 0 K comes out at -7.27 kcal/mol of atoms.

a = 7.2987 Å, b = 7.2987 Å, c = 3.3628 Å
α = 90.00°, β = 90.00°, γ = 90.00°
Closest atoms and distances in Å follow each position.
Sites, in units of the cell vectors:
Au1 0.6351 0.1351 0.0000  6 Mg 2.63-2.79, 1 Au 2.79, 2 Rh 2.84
Au2 0.3649 0.8649 0.0000  6 Mg 2.63-2.79, 1 Au 2.79, 2 Rh 2.84
Au3 0.1351 0.3649 0.0000  6 Mg 2.63-2.79, 1 Au 2.79, 2 Rh 2.84
Au4 0.8649 0.6351 0.0000  6 Mg 2.63-2.79, 1 Au 2.79, 2 Rh 2.84
Mg1 0.3312 0.1688 0.5000  6 Au 2.63-2.79
Mg2 0.6688 0.8312 0.5000  6 Au 2.63-2.79
Mg3 0.1688 0.6688 0.5000  6 Au 2.63-2.79
Mg4 0.8312 0.3312 0.5000  6 Au 2.63-2.79
Rh1 0.5000 0.5000 0.0000  4 Au 2.84
Rh2 0.0000 0.0000 0.0000  4 Au 2.84

***

For reference, ρ by record: 3.0 11.5 10.4 2.1 10.1 g/cm3.